Entry 1:
Material: TiAsPt2
Method: DFT, meta-GGA SCAN
State: PBEsol geometry

Cell lengths 5.4760, 5.4760, 11.5790 Å; angles 90.00, 90.00, 90.00 degrees
With the nearest neighbours (Å) after each atom.
Space group I-42d (No. 122)
Inequivalent atoms, fractional coordinates:
1 Ti 0.0000 0.0000 0.0000 (multiplicity 4)  4 Pt 2.46
2 As 0.0000 0.0000 0.5000 (multiplicity 4)  4 Pt 2.38
3 Pt 0.2364 0.2500 0.6250 (multiplicity 8)  2 As 2.38, 2 Ti 2.46

Formation energy from the elements ... -1.4 eV/f.u.
V ... 347.2 Å³/cell
Density ... 9.81 g/cm³
Spin magnetization ... 0.0 μB/f.u.

Entry 2:
Material: HoCo3Ni2
Method: DFT, meta-GGA SCAN
State: PBEsol geometry

Cell lengths 4.7560, 4.7560, 3.9574 Å; angles 90.00, 90.00, 120.00 degrees
With the nearest neighbours (Å) after each atom.
Space group P6/mmm (No. 191)
Inequivalent atoms, fractional coordinates:
1 Ho 0.0000 0.0000 0.0000 (multiplicity 1)  6 Ni 2.75
2 Co 0.0000 0.5000 0.5000 (multiplicity 3)  4 Co 2.38, 4 Ni 2.41
3 Ni 0.3333 0.6667 0.0000 (multiplicity 2)  6 Co 2.41

Formation energy from the elements ... -1.0 eV/f.u.
V ... 77.5 Å³/cell
Density ... 9.83 g/cm³
Spin magnetization ... 5.6 μB/f.u.

Entry 3:
Material: MgCd2Pt
Method: DFT, meta-GGA SCAN
State: PBEsol geometry

Cell lengths 6.5741, 6.5741, 6.5741 Å; angles 90.00, 90.00, 90.00 degrees
With the nearest neighbours (Å) after each atom.
Space group F-43m (No. 216)
Inequivalent atoms, fractional coordinates:
1 Mg 0.0000 0.0000 0.0000 (multiplicity 4)  4 Cd 2.85, 4 Pt 2.85
2 Cd 0.0000 0.0000 0.5000 (multiplicity 4)  4 Cd 2.85, 4 Pt 2.85
3 Cd 0.2500 0.2500 0.2500 (multiplicity 4)  4 Cd 2.85, 4 Mg 2.85
4 Pt 0.2500 0.2500 0.7500 (multiplicity 4)  4 Cd 2.85, 4 Mg 2.85

Formation energy from the elements ... -1.6 eV/f.u.
V ... 284.1 Å³/cell
Density ... 10.38 g/cm³
Spin magnetization ... 0.0 μB/f.u.

Entry 4:
Material: Li2NiS
Method: DFT, meta-GGA SCAN
State: PBEsol geometry

Cell lengths 3.4459, 3.4459, 16.5682 Å; angles 90.00, 90.00, 90.00 degrees
With the nearest neighbours (Å) after each atom.
Space group I-42d (No. 122)
Inequivalent atoms, fractional coordinates:
1 Li 0.2274 0.2500 0.1250 (multiplicity 8)  4 Li 2.33-2.55, 2 S 2.38, 2 Ni 2.43
2 Ni 0.0000 0.0000 0.5000 (multiplicity 4)  4 Li 2.43, 4 S 2.44
3 S 0.0000 0.0000 0.0000 (multiplicity 4)  4 Li 2.38, 4 Ni 2.44

Formation energy from raw total energies ... -265 meV per atom
V ... 196.7 Å³/cell
Density ... 3.53 g/cm³
Spin magnetization ... 0.0 μB/f.u.

Sequential VASP energy output: -712.11 -134.27 -550.52 -126.57 eV per cell